# LaMgIrO6, optimized geometry, DFT PBE
# E_form (uncorrected) in eV/atom: -1.835
# Size of the total moment in μB/f.u.: 1.835
# DOS(E_F) in states/eV per cell: 4.81
data_LaMgIrO6
_chemical_formula_sum 'La1 Mg1 Ir1 O6'
_space_group_name_H-M_alt 'P 3 1 2'
_space_group_IT_number 149
_cell_length_a 5.2698
_cell_length_b 5.2698
_cell_length_c 5.1473
_cell_angle_alpha 90.00
_cell_angle_beta 90.00
_cell_angle_gamma 120.00
loop_
_space_group_symop_operation_xyz
'x,y,z'
'-y,x-y,z'
'-x+y,-x,z'
'-y,-x,-z'
'-x+y,y,-z'
'x,x-y,-z'
loop_
_atom_site_label
_atom_site_type_symbol
_atom_site_fract_x
_atom_site_fract_y
_atom_site_fract_z
La1 La 0.0000 0.0000 0.0000
Mg1 Mg 0.3333 0.6667 0.5000
Ir1 Ir 0.6667 0.3333 0.5000
O1 O 0.3762 0.0233 0.7112

---

# LaSeIN2, optimized geometry, DFT PBE
# E_form (uncorrected) in eV/atom: 0.935
# Size of the total moment in μB/f.u.: 0.001
# Energy above the most stable polymorph in this dataset in meV/atom: 252
# DOS(E_F) in states/eV per cell: 5.55
data_LaSeIN2
_chemical_formula_sum 'La1 Se1 I1 N2'
_space_group_name_H-M_alt 'P 4/m m m'
_space_group_IT_number 123
_space_group_name_Hall '-P 4 2'
_cell_length_a 4.378
_cell_length_b 4.378
_cell_length_c 5.241
_cell_angle_alpha 90.00
_cell_angle_beta 90.00
_cell_angle_gamma 90.00
loop_
_atom_site_label
_atom_site_type_symbol
_atom_site_fract_x
_atom_site_fract_y
_atom_site_fract_z
La1 La 0.000 0.000 0.000
Se1 Se 0.500 0.500 0.500
I1 I 0.500 0.500 0.000
N1 N 0.000 0.500 0.500

---

# CaLa5Pr4, optimized geometry, DFT PBE
# Size of the total moment in μB/f.u.: 0.000
# E_form in eV/atom: 0.021
# DOS(E_F) in states/eV per cell: 16.18
data_CaLa5Pr4
_chemical_formula_sum 'Ca1 La5 Pr4'
_space_group_name_H-M_alt 'P 4/m m m'
_space_group_IT_number 123
_space_group_name_Hall '-P 4 2'
_cell_length_a 3.743
_cell_length_b 3.743
_cell_length_c 26.615
_cell_angle_alpha 90.00
_cell_angle_beta 90.00
_cell_angle_gamma 90.00
loop_
_atom_site_label
_atom_site_type_symbol
_atom_site_fract_x
_atom_site_fract_y
_atom_site_fract_z
Ca1 Ca 0.000 0.000 0.000
La1 La 0.500 0.500 0.108
La2 La 0.500 0.500 0.302
La3 La 0.500 0.500 0.500
Pr1 Pr 0.000 0.000 0.203
Pr2 Pr 0.000 0.000 0.401

---

# Co2GeB, optimized geometry, DFT PBE
# Size of the total moment in μB/f.u.: 0.527
# E_form in eV/atom: -0.080
# Energy above the most stable polymorph in this dataset in meV/atom: 0
# DOS(E_F) in states/eV per cell: 10.17
data_Co2GeB
_chemical_formula_sum 'Co6 Ge3 B3'
_space_group_name_H-M_alt 'R -3 m'
_space_group_IT_number 166
_space_group_name_Hall '-R 3 2"'
_cell_length_a 2.9308
_cell_length_b 2.9308
_cell_length_c 17.5341
_cell_angle_alpha 90.00
_cell_angle_beta 90.00
_cell_angle_gamma 120.00
loop_
_atom_site_label
_atom_site_type_symbol
_atom_site_fract_x
_atom_site_fract_y
_atom_site_fract_z
Co1 Co 0.0000 0.0000 0.2256
Ge1 Ge 0.0000 0.0000 0.0000
B1 B 0.0000 0.0000 0.5000